Record 1
Density functional theory data (PBE-GGA) for a relaxed SrY2Ge2 crystal.

Output
Excess energy over the best structure of this formula in the dataset: 0.000 eV/atom
E_form: -0.6065 eV per atom
Space-group type: No. 127
Total moment: 0.00 Bohr magnetons per cell

Cell: 8.5745 8.5745 3.6264 Å, 90.00 90.00 90.00°
Last column: nearest neighbours and their distance in Å.
Element x y z (fractional)
Y 0.1405 0.6405 0.5000  6 Ge 3.03-3.15
Y 0.6405 0.8595 0.5000  6 Ge 3.03-3.15
Y 0.8595 0.3595 0.5000  6 Ge 3.03-3.15
Y 0.3595 0.1405 0.5000  6 Ge 3.03-3.15
Sr 0.0000 0.0000 0.0000  4 Ge 3.22
Sr 0.5000 0.5000 0.0000  4 Ge 3.22
Ge 0.3407 0.8407 0.0000  6 Y 3.03-3.15, 2 Sr 3.22
Ge 0.8407 0.6593 0.0000  6 Y 3.03-3.15, 2 Sr 3.22
Ge 0.6593 0.1593 0.0000  6 Y 3.03-3.15, 2 Sr 3.22
Ge 0.1593 0.3407 0.0000  6 Y 3.03-3.15, 2 Sr 3.22

---

Record 2
Density functional theory data (PBE-GGA) for a relaxed KCrIn2Te crystal.

Output
Formation energy from raw total energies: 0.33 eV per formula unit
Space-group type: No. 123
Total moment: 0.00 Bohr magnetons per cell

Cell: 5.1656 4.9691 5.1656 Å, 90.00 90.00 90.00°
Last column: nearest neighbours and their distance in Å.
Element x y z (fractional)
Cr 0.0000 0.0000 0.0000  2 Te 2.48, 4 In 2.58
K 0.5000 0.5000 0.5000  8 In 3.58, 4 Te 3.65
Te 0.0000 0.5000 0.0000  2 Cr 2.48
In 0.0000 0.0000 0.5000  2 Cr 2.58
In 0.5000 0.0000 0.0000  2 Cr 2.58

---

Record 3
Density functional theory data (PBE-GGA) for a relaxed Na2TiI crystal.

Output
Excess energy over the best structure of this formula in the dataset: 0.094 eV/atom
Formation energy from raw total energies: 1.75 eV per formula unit
Space-group type: No. 225
Total moment: 3.13 Bohr magnetons per cell

Cell: 5.6799 5.6799 5.6799 Å, 60.00 60.00 60.00°
Last column: nearest neighbours and their distance in Å.
Element x y z (fractional)
I 0.5000 0.5000 0.5000  8 Na 3.48
Na 0.2500 0.2500 0.2500  4 I 3.48, 4 Ti 3.48
Na 0.7500 0.7500 0.7500  4 I 3.48, 4 Ti 3.48
Ti 0.0000 0.0000 0.0000  8 Na 3.48

---

Record 4
Density functional theory data (PBE-GGA) for a relaxed NaMnNi crystal.

Output
Excess energy over the best structure of this formula in the dataset: 0.446 eV/atom
E_form: 0.6796 eV per atom
Space-group type: No. 187
Total moment: 4.17 Bohr magnetons per cell

Cell: 4.0847 4.0847 4.0437 Å, 90.00 90.00 120.00°
Last column: nearest neighbours and their distance in Å.
Element x y z (fractional)
Ni 0.3333 0.6667 0.0000  3 Mn 2.36
Mn 0.0000 0.0000 0.0000  3 Ni 2.36
Na 0.6667 0.3333 0.5000  6 Mn 3.11, 6 Ni 3.11

---

Record 5
Density functional theory data (PBE-GGA) for a relaxed LaCeTeAs crystal.

Output
Formation energy from raw total energies: -6.12 eV per formula unit
Space-group type: No. 160
Total moment: 1.08 Bohr magnetons per cell

Cell: 4.3830 4.3830 7.7935 Å, 73.67 73.67 60.00°
Last column: nearest neighbours and their distance in Å.
Element x y z (fractional)
La 0.5086 0.5086 0.4741  3 As 3.05, 3 Te 3.28
Ce 0.9915 0.9915 0.0256  3 As 3.00, 3 Te 3.21
Te 0.7478 0.7478 0.7566  3 Ce 3.21, 3 La 3.28
As 0.2521 0.2521 0.2437  3 Ce 3.00, 3 La 3.05

---

Record 6
Density functional theory data (PBE-GGA) for a relaxed La6HgOs2 crystal.

Output
Excess energy over the best structure of this formula in the dataset: 0.115 eV/atom
E_form: -0.1050 eV per atom
Space-group type: No. 12
Total moment: 0.00 Bohr magnetons per cell

Cell: 5.7237 6.9689 9.8625 Å, 126.05 90.00 114.25°
Last column: nearest neighbours and their distance in Å.
Element x y z (fractional)
La 0.9889 0.9778 0.8395  1 La 2.99, 2 Os 3.03-3.24
La 0.7104 0.4207 0.1095  3 Os 2.95-3.05, 1 Hg 3.18
La 0.2896 0.5793 0.8905  3 Os 2.95-3.05, 1 Hg 3.18
La 0.6242 0.2485 0.4788  1 Os 2.64
La 0.3758 0.7515 0.5212  1 Os 2.64
La 0.0111 0.0222 0.1605  1 La 2.99, 2 Os 3.03-3.24
Hg 0.0000 0.0000 0.5000  8 La 3.18-3.44
Os 0.7192 0.4384 0.8082  3 La 2.64-2.95
Os 0.2808 0.5616 0.1918  3 La 2.64-2.95

---

Please write out number 5 again, unchanged.
Density functional theory data (PBE-GGA) for a relaxed LaCeTeAs crystal.

Output
Formation energy from raw total energies: -6.12 eV per formula unit
Space-group type: No. 160
Total moment: 1.08 Bohr magnetons per cell

Cell: 4.3830 4.3830 7.7935 Å, 73.67 73.67 60.00°
Last column: nearest neighbours and their distance in Å.
Element x y z (fractional)
La 0.5086 0.5086 0.4741  3 As 3.05, 3 Te 3.28
Ce 0.9915 0.9915 0.0256  3 As 3.00, 3 Te 3.21
Te 0.7478 0.7478 0.7566  3 Ce 3.21, 3 La 3.28
As 0.2521 0.2521 0.2437  3 Ce 3.00, 3 La 3.05

---

Which value of total moment does entry 1 give?
0.00 Bohr magnetons per cell

---

Number 5 is which compound?
LaCeTeAs